[1]
A relaxed structure of ReRu2Br. Source: the Alexandria database, functional GGA-PBE.

Geometry as extended XYZ:
```
4
Lattice="-0.296 -2.824 0.242 3.367 -0.260 1.089 -1.929 0.729 6.139" Properties=species:S:1:pos:R:3 pbc="T T T"
Re -0.006 -0.959 5.570
Br -0.938 0.355 2.986
Ru -1.925 0.728 6.125
Ru 1.117 -1.384 1.997
```

[2]
A relaxed structure of BiSbOF2. Source: the Alexandria database, functional GGA-PBE.

Geometry as extended XYZ:
```
5
Lattice="-4.448 0.845 -0.298 -0.619 -3.988 -2.073 -0.636 -1.952 3.944" Properties=species:S:1:pos:R:3 pbc="T T T"
Sb 0.000 0.000 0.000
Bi -2.851 -2.547 0.786
O -0.318 -0.976 1.972
F -0.309 -1.994 -1.037
F -2.224 0.423 -0.149
```

ΔE_f (raw) (computed, eV per atom): 0.8565 -1.0246
ΔE to the lowest computed polymorph (computed, eV per atom): 0.346 0.000